The following is a PBE-GGA calculation of an optimized crystal structure of MnFe4Sb, from Alexandria via LeMat-Bulk.

Summary:
For the total moment, the calculation gives 11.48 μB/f.u. The value obtained for the uncorrected formation energy is 0.147 eV per atom. As for the space group: F-43m, No. 216. The value obtained for the density is 8.3 g cm⁻³.

Structure (extended XYZ):
```
6
Lattice="0.0000 3.4190 3.4190 3.4190 0.0000 3.4190 3.4190 3.4190 0.0000" Properties=species:S:1:pos:R:3 pbc="T T T"
Mn 0.0000 0.0000 0.0000
Fe 2.5617 2.5617 2.5617
Fe 4.2762 4.2762 2.5617
Fe 4.2762 2.5617 4.2762
Fe 2.5617 4.2762 4.2762
Sb 5.1285 5.1285 5.1285
```